1.
Computed, not measured: a geometry-optimized Ti3C structure at the PBE level of DFT.

DOS at the Fermi energy	7.544	states/eV per cell
excess energy over the best structure of this formula in the dataset	0.121	eV/atom
electronic total energy	-8.40	eV/atom

The structure in CIF format:
```
data_Ti3C
_space_group_name_H-M_alt 'I m m 2'
_space_group_IT_number 44
_cell_length_a 2.9131
_cell_length_b 7.6614
_cell_length_c 4.9778
_cell_angle_alpha 90.00
_cell_angle_beta 90.00
_cell_angle_gamma 90.00
loop_
_space_group_symop_operation_xyz
'x,y,z'
'-x,-y,z'
'-x,y,z'
'x,-y,z'
'x+1/2,y+1/2,z+1/2'
'-x+1/2,-y+1/2,z+1/2'
'-x+1/2,y+1/2,z+1/2'
'x+1/2,-y+1/2,z+1/2'
loop_
_atom_site_label
_atom_site_fract_x
_atom_site_fract_y
_atom_site_fract_z
_atom_site_occupancy
Ti1 0.0000 0.0000 0.0000 1
Ti2 0.0000 0.1787 0.5184 1
C1 0.0000 0.5000 0.7993 1
```

2.
Computed, not measured: a geometry-optimized Ti4C3 structure at the PBE level of DFT.

DOS at the Fermi energy	22.233	states/eV per cell
excess energy over the best structure of this formula in the dataset	0.096	eV/atom
electronic total energy	-9.07	eV/atom

The structure in CIF format:
```
data_Ti4C3
_space_group_name_H-M_alt 'I -4 3 d'
_space_group_IT_number 220
_space_group_name_Hall 'I -4bd 2c 3'
_cell_length_a 6.6842
_cell_length_b 6.6842
_cell_length_c 6.6842
_cell_angle_alpha 90.00
_cell_angle_beta 90.00
_cell_angle_gamma 90.00
loop_
_atom_site_label
_atom_site_fract_x
_atom_site_fract_y
_atom_site_fract_z
_atom_site_occupancy
Ti1 0.0564 0.4436 0.5564 1
C1 0.0000 0.2500 0.8750 1
```

3.
Computed, not measured: a geometry-optimized Ti4C structure at the PBE level of DFT.

DOS at the Fermi energy	11.498	states/eV per cell
excess energy over the best structure of this formula in the dataset	0.000	eV/atom
electronic total energy	-8.47	eV/atom

The structure in CIF format:
```
data_Ti4C
_space_group_name_H-M_alt 'C 1 2/m 1'
_space_group_IT_number 12
_cell_length_a 5.1997
_cell_length_b 3.0157
_cell_length_c 9.7434
_cell_angle_alpha 90.00
_cell_angle_beta 99.32
_cell_angle_gamma 90.00
loop_
_space_group_symop_operation_xyz
'x,y,z'
'-x,-y,-z'
'-x,y,-z'
'x,-y,z'
'x+1/2,y+1/2,z'
'-x+1/2,-y+1/2,-z'
'-x+1/2,y+1/2,-z'
'x+1/2,-y+1/2,z'
loop_
_atom_site_label
_atom_site_fract_x
_atom_site_fract_y
_atom_site_fract_z
_atom_site_occupancy
Ti1 0.1288 0.0000 0.3760 1
Ti2 0.2032 0.5000 0.1164 1
C1 0.0000 0.5000 0.5000 1
```

4.
Computed, not measured: a geometry-optimized TiC structure at the PBE level of DFT.

DOS at the Fermi energy	0.736	states/eV per cell
electronic total energy	-8.68	eV/atom

The structure in CIF format:
```
data_TiC
_space_group_name_H-M_alt 'A m m 2'
_space_group_IT_number 38
_cell_length_a 3.0692
_cell_length_b 9.5208
_cell_length_c 5.7754
_cell_angle_alpha 90.00
_cell_angle_beta 90.00
_cell_angle_gamma 90.00
loop_
_space_group_symop_operation_xyz
'x,y,z'
'-x,-y,z'
'-x,y,z'
'x,-y,z'
'x,y+1/2,z+1/2'
'-x,-y+1/2,z+1/2'
'-x,y+1/2,z+1/2'
'x,-y+1/2,z+1/2'
loop_
_atom_site_label
_atom_site_fract_x
_atom_site_fract_y
_atom_site_fract_z
_atom_site_occupancy
Ti1 0.0000 0.0000 0.0000 1
Ti2 0.5000 0.2153 0.7501 1
C1 0.0000 0.2229 0.0128 1
C2 0.5000 0.0000 0.7820 1
```

5.
Computed, not measured: a geometry-optimized TiC2 structure at the PBE level of DFT.

DOS at the Fermi energy	1.787	states/eV per cell
electronic total energy	-8.60	eV/atom

The structure in CIF format:
```
data_TiC2
_space_group_name_H-M_alt 'A m m 2'
_space_group_IT_number 38
_cell_length_a 2.8910
_cell_length_b 4.2238
_cell_length_c 5.0050
_cell_angle_alpha 90.00
_cell_angle_beta 90.00
_cell_angle_gamma 90.00
loop_
_space_group_symop_operation_xyz
'x,y,z'
'-x,-y,z'
'-x,y,z'
'x,-y,z'
'x,y+1/2,z+1/2'
'-x,-y+1/2,z+1/2'
'-x,y+1/2,z+1/2'
'x,-y+1/2,z+1/2'
loop_
_atom_site_label
_atom_site_fract_x
_atom_site_fract_y
_atom_site_fract_z
_atom_site_occupancy
Ti1 0.0000 0.0000 0.0000 1
C1 0.5000 0.1587 0.6637 1
```

6.
Computed, not measured: a geometry-optimized Ti3C structure at the PBE level of DFT.

DOS at the Fermi energy	3.439	states/eV per cell
excess energy over the best structure of this formula in the dataset	0.676	eV/atom
electronic total energy	-7.85	eV/atom

The structure in CIF format:
```
data_Ti3C
_space_group_name_H-M_alt 'P m -3 m'
_space_group_IT_number 221
_space_group_name_Hall '-P 4 2 3'
_cell_length_a 3.7053
_cell_length_b 3.7053
_cell_length_c 3.7053
_cell_angle_alpha 90.00
_cell_angle_beta 90.00
_cell_angle_gamma 90.00
loop_
_atom_site_label
_atom_site_fract_x
_atom_site_fract_y
_atom_site_fract_z
_atom_site_occupancy
Ti1 0.0000 0.0000 0.5000 1
C1 0.5000 0.5000 0.5000 1
```

7.
Computed, not measured: a geometry-optimized TiC structure at the PBE level of DFT.

DOS at the Fermi energy	0.534	states/eV per cell
electronic total energy	-9.12	eV/atom

The structure in CIF format:
```
data_TiC
_space_group_name_H-M_alt 'P 63/m m c'
_space_group_IT_number 194
_space_group_name_Hall '-P 6c 2c'
_cell_length_a 3.6172
_cell_length_b 3.6172
_cell_length_c 4.2935
_cell_angle_alpha 90.00
_cell_angle_beta 90.00
_cell_angle_gamma 120.00
loop_
_atom_site_label
_atom_site_fract_x
_atom_site_fract_y
_atom_site_fract_z
_atom_site_occupancy
Ti1 0.3333 0.6667 0.2500 1
C1 0.3333 0.6667 0.7500 1
```

8.
Computed, not measured: a geometry-optimized TiC structure at the PBE level of DFT.

DOS at the Fermi energy	1.379	states/eV per cell
electronic total energy	-9.37	eV/atom

The structure in CIF format:
```
data_TiC
_space_group_name_H-M_alt 'F m -3 m'
_space_group_IT_number 225
_space_group_name_Hall '-F 4 2 3'
_cell_length_a 4.3364
_cell_length_b 4.3364
_cell_length_c 4.3364
_cell_angle_alpha 90.00
_cell_angle_beta 90.00
_cell_angle_gamma 90.00
loop_
_atom_site_label
_atom_site_fract_x
_atom_site_fract_y
_atom_site_fract_z
_atom_site_occupancy
Ti1 0.0000 0.0000 0.0000 1
C1 0.0000 0.0000 0.5000 1
```

9.
Computed, not measured: a geometry-optimized Ti3C structure at the PBE level of DFT.

DOS at the Fermi energy	6.673	states/eV per cell
excess energy over the best structure of this formula in the dataset	0.000	eV/atom
electronic total energy	-8.52	eV/atom

The structure in CIF format:
```
data_Ti3C
_space_group_name_H-M_alt 'C m c m'
_space_group_IT_number 63
_space_group_name_Hall '-C 2c 2'
_cell_length_a 4.6873
_cell_length_b 15.2713
_cell_length_c 2.9961
_cell_angle_alpha 90.00
_cell_angle_beta 90.00
_cell_angle_gamma 90.00
loop_
_atom_site_label
_atom_site_fract_x
_atom_site_fract_y
_atom_site_fract_z
_atom_site_occupancy
Ti1 0.0000 0.2274 0.2500 1
Ti2 0.2465 0.4121 0.2500 1
C1 0.0000 0.3290 0.7500 1
```

10.
Computed, not measured: a geometry-optimized TiC structure at the PBE level of DFT.

electronic total energy	-8.58	eV/atom

The structure in CIF format:
```
data_TiC
_space_group_name_H-M_alt 'I -4 3 m'
_space_group_IT_number 217
_space_group_name_Hall 'I -4 2 3'
_cell_length_a 6.4541
_cell_length_b 6.4541
_cell_length_c 6.4541
_cell_angle_alpha 90.00
_cell_angle_beta 90.00
_cell_angle_gamma 90.00
loop_
_atom_site_label
_atom_site_fract_x
_atom_site_fract_y
_atom_site_fract_z
_atom_site_occupancy
Ti1 0.1588 0.1588 0.8412 1
C1 0.1563 0.1563 0.1563 1
```

11.
Computed, not measured: a geometry-optimized TiC structure at the PBE level of DFT.

DOS at the Fermi energy	0.266	states/eV per cell
electronic total energy	-8.69	eV/atom

The structure in CIF format:
```
data_TiC
_space_group_name_H-M_alt 'F -4 3 m'
_space_group_IT_number 216
_space_group_name_Hall 'F -4 2 3'
_cell_length_a 4.7335
_cell_length_b 4.7335
_cell_length_c 4.7335
_cell_angle_alpha 90.00
_cell_angle_beta 90.00
_cell_angle_gamma 90.00
loop_
_atom_site_label
_atom_site_fract_x
_atom_site_fract_y
_atom_site_fract_z
_atom_site_occupancy
Ti1 0.0000 0.0000 0.0000 1
C1 0.2500 0.2500 0.2500 1
```

12.
Computed, not measured: a geometry-optimized TiC structure at the PBE level of DFT.

DOS at the Fermi energy	1.144	states/eV per cell
electronic total energy	-8.67	eV/atom

The structure in CIF format:
```
data_TiC
_space_group_name_H-M_alt 'P m -3 n'
_space_group_IT_number 223
_space_group_name_Hall '-P 4n 2 3'
_cell_length_a 5.7758
_cell_length_b 5.7758
_cell_length_c 5.7758
_cell_angle_alpha 90.00
_cell_angle_beta 90.00
_cell_angle_gamma 90.00
loop_
_atom_site_label
_atom_site_fract_x
_atom_site_fract_y
_atom_site_fract_z
_atom_site_occupancy
Ti1 0.0000 0.2500 0.5000 1
C1 0.0000 0.5000 0.2500 1
```

Record order is preserved below.
Energy of formation: -0.18; -0.61; -0.31; -0.12; 0.18; 0.38; -0.56; -0.81; -0.30; -0.02; -0.13; -0.11 eV per atom